## CsTlPF6 (PBE-GGA)

Data for CsTlPF6 after structural relaxation. Values from VASP.

Summary:
Electronic total energy ... -4.480 eV/atom
Total magnetic moment ... 1.00 μB/f.u.

Structure (Quantum ESPRESSO input):
```
&SYSTEM
  ibrav = 0, nat = 9, ntyp = 4
/
ATOMIC_SPECIES
Tl 204.38 Tl.upf
P 30.97 P.upf
F 19.00 F.upf
Cs 132.91 Cs.upf
ATOMIC_POSITIONS angstrom
Tl 1.365 -8.029 0.216
P 1.212 -4.125 0.361
F 0.215 -5.232 -0.458
F -0.147 -3.412 1.094
F 2.594 -4.857 -0.373
F 1.326 -5.174 1.618
F 2.227 -3.010 1.203
F -1.070 -8.085 -0.285
Cs 1.400 -4.857 -3.488
CELL_PARAMETERS angstrom
-2.649 -5.820 1.446
0.909 -4.591 -3.914
4.021 -1.285 2.441
```